This record from Alexandria describes Ba2NbFeO6 after structural relaxation. The functional is PBE+U.

Results
- Total energy: -223.45 eV for the cell shown
- Crystal system: trigonal

POSCAR file:
```
Ba2NbFeO6
1.0
5.8783 0.0000 0.0000
-2.9391 5.0907 0.0000
0.0000 0.0000 14.3843
Ba Nb Fe O
6 3 3 18
Direct
0.0000 0.0000 0.7502
0.0000 0.0000 0.2498
0.6667 0.3333 0.9045
0.3333 0.6667 0.0955
0.6667 0.3333 0.6015
0.3333 0.6667 0.3985
0.0000 0.0000 0.5000
0.6667 0.3333 0.1556
0.3333 0.6667 0.8444
0.0000 0.0000 0.0000
0.6667 0.3333 0.3493
0.3333 0.6667 0.6507
0.0288 0.5144 0.7514
0.4856 0.9712 0.7514
0.4856 0.5144 0.7514
0.9712 0.4856 0.2486
0.5144 0.0288 0.2486
0.5144 0.4856 0.2486
0.6666 0.8333 0.9185
0.1667 0.3334 0.9185
0.1667 0.8333 0.9185
0.3334 0.1667 0.0815
0.8333 0.6666 0.0815
0.8333 0.1667 0.0815
0.6737 0.8368 0.5807
0.1632 0.3263 0.5807
0.1632 0.8368 0.5807
0.3263 0.1632 0.4193
0.8368 0.6737 0.4193
0.8368 0.1632 0.4193
```